This record from the Alexandria database describes a geometry-optimized BaCaSe2 structure. The functional is PBEsol.

Polymorph energy (0 for the lowest one) = 0.985 eV/f.u.
VASP energy = -4.75 eV per atom
Volume = 27.344 Å³/atom
Formation energy without anion corrections = -1.7541 eV/atom
Magnetization = 0.00 μB per cell

Structure (CIF):
```
data_BaCaSe2
_chemical_formula_sum 'Ba2 Ca2 Se4'
_cell_length_a 5.073
_cell_length_b 5.660
_cell_length_c 7.619
_cell_angle_alpha 90.00
_cell_angle_beta 90.00
_cell_angle_gamma 90.00
_space_group_name_H-M_alt 'I m m m'
_space_group_IT_number 71
_space_group_name_Hall '-I 2 2'
loop_
_atom_site_label
_atom_site_fract_x
_atom_site_fract_y
_atom_site_fract_z
Ba1 0.000 0.000 0.000
Ca1 0.000 0.000 0.500
Se1 0.000 0.500 0.238
```

This record from the Alexandria database describes a geometry-optimized Mg2AgHg2 structure. The functional is PBEsol.

Polymorph energy (0 for the lowest one) = 0.000 eV/f.u.
DOS at the Fermi energy = 0.268 states/eV per atom
VASP energy = -1.74 eV per atom
Volume = 20.249 Å³/atom
Magnetization = 0.00 μB per cell
Formation energy = -0.17 eV per atom

Structure (CIF):
```
data_Mg2AgHg2
_chemical_formula_sum 'Mg4 Ag2 Hg4'
_cell_length_a 7.643
_cell_length_b 7.643
_cell_length_c 3.467
_cell_angle_alpha 90.00
_cell_angle_beta 90.00
_cell_angle_gamma 90.00
_space_group_name_H-M_alt 'P 4/m b m'
_space_group_IT_number 127
_space_group_name_Hall '-P 4 2ab'
loop_
_atom_site_label
_atom_site_fract_x
_atom_site_fract_y
_atom_site_fract_z
Mg1 0.162 0.338 0.000
Ag1 0.000 0.000 0.500
Hg1 0.140 0.640 0.500
```

This record from the Alexandria database describes a geometry-optimized Rb3BiN structure. The functional is PBEsol.

DOS at the Fermi energy = 1.256 states/eV per atom
VASP energy = -2.78 eV per atom
Volume = 37.303 Å³/atom
Formation energy without anion corrections = 0.3943 eV/atom
Magnetization = 3.01 μB per cell

Structure (CIF):
```
data_Rb3BiN
_chemical_formula_sum 'Rb3 Bi1 N1'
_cell_length_a 5.714
_cell_length_b 5.714
_cell_length_c 5.714
_cell_angle_alpha 90.00
_cell_angle_beta 90.00
_cell_angle_gamma 90.00
_space_group_name_H-M_alt 'P m -3 m'
_space_group_IT_number 221
_space_group_name_Hall '-P 4 2 3'
loop_
_atom_site_label
_atom_site_fract_x
_atom_site_fract_y
_atom_site_fract_z
Rb1 0.000 0.000 0.500
Bi1 0.500 0.500 0.500
N1 0.000 0.000 0.000
```

This record from the Alexandria database describes a geometry-optimized BaMnRh structure. The functional is PBEsol.

DOS at the Fermi energy = 0.899 states/eV per atom
VASP energy = -6.05 eV per atom
Volume = 25.155 Å³/atom
Magnetization = 17.24 μB per cell
Formation energy = 0.64 eV per atom

Structure (CIF):
```
data_BaMnRh
_chemical_formula_sum 'Ba4 Mn4 Rh4'
_cell_length_a 6.708
_cell_length_b 6.708
_cell_length_c 6.708
_cell_angle_alpha 90.00
_cell_angle_beta 90.00
_cell_angle_gamma 90.00
_space_group_name_H-M_alt 'F -4 3 m'
_space_group_IT_number 216
_space_group_name_Hall 'F -4 2 3'
loop_
_atom_site_label
_atom_site_fract_x
_atom_site_fract_y
_atom_site_fract_z
Ba1 0.000 0.000 0.000
Mn1 0.000 0.000 0.500
Rh1 0.250 0.250 0.250
```

This record from the Alexandria database describes a geometry-optimized Cd2HgAu structure. The functional is PBEsol.

Polymorph energy (0 for the lowest one) = 0.000 eV/f.u.
DOS at the Fermi energy = 0.275 states/eV per atom
VASP energy = -1.80 eV per atom
Volume = 19.950 Å³/atom
Magnetization = 0.00 μB per cell
Formation energy = -0.08 eV per atom

Structure (CIF):
```
data_Cd2HgAu
_chemical_formula_sum 'Cd2 Hg1 Au1'
_cell_length_a 3.001
_cell_length_b 3.778
_cell_length_c 7.038
_cell_angle_alpha 90.00
_cell_angle_beta 90.00
_cell_angle_gamma 90.00
_space_group_name_H-M_alt 'P m m m'
_space_group_IT_number 47
loop_
_space_group_symop_operation_xyz
'x,y,z'
'-x,-y,-z'
'-x,-y,z'
'x,y,-z'
'x,-y,-z'
'-x,y,z'
'-x,y,-z'
'x,-y,z'
loop_
_atom_site_label
_atom_site_fract_x
_atom_site_fract_y
_atom_site_fract_z
Cd1 0.000 0.000 0.229
Hg1 0.500 0.500 0.500
Au1 0.500 0.500 0.000
```

This record from the Alexandria database describes a geometry-optimized Ni2SnAu2 structure. The functional is PBEsol.

DOS at the Fermi energy = 1.124 states/eV per atom
VASP energy = -4.70 eV per atom
Volume = 16.566 Å³/atom
Magnetization = 0.03 μB per cell
Formation energy = 0.19 eV per atom

Structure (CIF):
```
data_Ni2SnAu2
_chemical_formula_sum 'Ni4 Sn2 Au4'
_cell_length_a 3.554
_cell_length_b 3.554
_cell_length_c 13.114
_cell_angle_alpha 90.00
_cell_angle_beta 90.00
_cell_angle_gamma 90.00
_space_group_name_H-M_alt 'I 4/m m m'
_space_group_IT_number 139
_space_group_name_Hall '-I 4 2'
loop_
_atom_site_label
_atom_site_fract_x
_atom_site_fract_y
_atom_site_fract_z
Ni1 0.000 0.500 0.250
Sn1 0.000 0.000 0.000
Au1 0.000 0.000 0.390
```

This record from the Alexandria database describes a geometry-optimized TcAs2Ir structure. The functional is PBEsol.

Polymorph energy (0 for the lowest one) = 0.279 eV/f.u.
DOS at the Fermi energy = 0.682 states/eV per atom
VASP energy = -7.81 eV per atom
Volume = 14.697 Å³/atom
Magnetization = 0.00 μB per cell
Formation energy = 0.02 eV per atom

Structure (CIF):
```
data_TcAs2Ir
_chemical_formula_sum 'Tc2 As4 Ir2'
_cell_length_a 8.008
_cell_length_b 2.942
_cell_length_c 5.108
_cell_angle_alpha 90.00
_cell_angle_beta 102.31
_cell_angle_gamma 90.00
_space_group_name_H-M_alt 'C 1 2/m 1'
_space_group_IT_number 12
loop_
_space_group_symop_operation_xyz
'x,y,z'
'-x,-y,-z'
'-x,y,-z'
'x,-y,z'
'x+1/2,y+1/2,z'
'-x+1/2,-y+1/2,-z'
'-x+1/2,y+1/2,-z'
'x+1/2,-y+1/2,z'
loop_
_atom_site_label
_atom_site_fract_x
_atom_site_fract_y
_atom_site_fract_z
Tc1 0.000 0.000 0.000
As1 0.246 0.500 0.239
Ir1 0.000 0.500 0.500
```

This record from the Alexandria database describes a geometry-optimized In2FeHg structure. The functional is PBEsol.

DOS at the Fermi energy = 0.875 states/eV per atom
VASP energy = -3.55 eV per atom
Volume = 19.431 Å³/atom
Magnetization = 2.38 μB per cell
Formation energy = 0.32 eV per atom

Structure (CIF):
```
data_In2FeHg
_chemical_formula_sum 'In2 Fe1 Hg1'
_cell_length_a 3.254
_cell_length_b 4.052
_cell_length_c 5.894
_cell_angle_alpha 90.00
_cell_angle_beta 90.00
_cell_angle_gamma 90.00
_space_group_name_H-M_alt 'P m m 2'
_space_group_IT_number 25
loop_
_space_group_symop_operation_xyz
'x,y,z'
'-x,-y,z'
'-x,y,z'
'x,-y,z'
loop_
_atom_site_label
_atom_site_fract_x
_atom_site_fract_y
_atom_site_fract_z
In1 0.000 0.000 0.000
In2 0.500 0.500 0.291
Fe1 0.000 0.000 0.492
Hg1 0.500 0.500 0.754
```

This record from the Alexandria database describes a geometry-optimized MoAs structure. The functional is PBEsol.

DOS at the Fermi energy = 0.724 states/eV per atom
VASP energy = -7.70 eV per atom
Volume = 21.992 Å³/atom
Magnetization = 4.23 μB per cell
Formation energy = 0.74 eV per atom

Structure (CIF):
```
data_MoAs
_chemical_formula_sum 'Mo4 As4'
_cell_length_a 5.603
_cell_length_b 5.603
_cell_length_c 5.603
_cell_angle_alpha 90.00
_cell_angle_beta 90.00
_cell_angle_gamma 90.00
_space_group_name_H-M_alt 'F -4 3 m'
_space_group_IT_number 216
_space_group_name_Hall 'F -4 2 3'
loop_
_atom_site_label
_atom_site_fract_x
_atom_site_fract_y
_atom_site_fract_z
Mo1 0.000 0.000 0.000
As1 0.250 0.250 0.750
```

This record from the Alexandria database describes a geometry-optimized Zr3GeCl structure. The functional is PBEsol.

DOS at the Fermi energy = 1.002 states/eV per atom
VASP energy = -6.95 eV per atom
Volume = 20.509 Å³/atom
Formation energy without anion corrections = -0.1038 eV/atom
Magnetization = 0.00 μB per cell

Structure (CIF):
```
data_Zr3GeCl
_chemical_formula_sum 'Zr3 Ge1 Cl1'
_cell_length_a 4.681
_cell_length_b 4.681
_cell_length_c 4.681
_cell_angle_alpha 90.00
_cell_angle_beta 90.00
_cell_angle_gamma 90.00
_space_group_name_H-M_alt 'P m -3 m'
_space_group_IT_number 221
_space_group_name_Hall '-P 4 2 3'
loop_
_atom_site_label
_atom_site_fract_x
_atom_site_fract_y
_atom_site_fract_z
Zr1 0.000 0.000 0.500
Ge1 0.500 0.500 0.500
Cl1 0.000 0.000 0.000
```

This record from the Alexandria database describes a geometry-optimized Cd4InTe structure. The functional is PBEsol.

DOS at the Fermi energy = 0.546 states/eV per atom
VASP energy = -1.77 eV per atom
Volume = 24.008 Å³/atom
Formation energy without anion corrections = 0.1104 eV/atom
Magnetization = 0.00 μB per cell

Structure (CIF):
```
data_Cd4InTe
_chemical_formula_sum 'Cd16 In4 Te4'
_cell_length_a 8.321
_cell_length_b 8.321
_cell_length_c 8.321
_cell_angle_alpha 90.00
_cell_angle_beta 90.00
_cell_angle_gamma 90.00
_space_group_name_H-M_alt 'F -4 3 m'
_space_group_IT_number 216
_space_group_name_Hall 'F -4 2 3'
loop_
_atom_site_label
_atom_site_fract_x
_atom_site_fract_y
_atom_site_fract_z
Cd1 0.124 0.124 0.376
In1 0.250 0.250 0.750
Te1 0.000 0.000 0.000
```

This record from the Alexandria database describes a geometry-optimized LaInTe2N structure. The functional is PBEsol.

DOS at the Fermi energy = 0.924 states/eV per atom
VASP energy = -4.71 eV per atom
Volume = 33.045 Å³/atom
Formation energy without anion corrections = 0.0673 eV/atom
Magnetization = 0.00 μB per cell

Structure (CIF):
```
data_LaInTe2N
_chemical_formula_sum 'La1 In1 Te2 N1'
_cell_length_a 6.410
_cell_length_b 6.410
_cell_length_c 4.022
_cell_angle_alpha 90.00
_cell_angle_beta 90.00
_cell_angle_gamma 90.00
_space_group_name_H-M_alt 'P 4/m m m'
_space_group_IT_number 123
_space_group_name_Hall '-P 4 2'
loop_
_atom_site_label
_atom_site_fract_x
_atom_site_fract_y
_atom_site_fract_z
La1 0.000 0.000 0.000
In1 0.500 0.500 0.500
Te1 0.000 0.500 0.000
N1 0.000 0.000 0.500
```

Question: Which value of volume does entry 7 give?
Answer: 14.697 Å³/atom